Ba2Zn2TeO6 after structural relaxation, computed with PBE-GGA.

formation energy (no corrections)	-1676	meV per atom
crystal system	trigonal

a b c (Å): 6.1150 6.1150 17.1094
angles (deg): 90.00 90.00 120.00
With the nearest neighbours (Å) after each atom.
Space group R-3m (No. 166, hexagonal axes)
Asymmetric unit:
Ba 0.0000 0.0000 0.2149 x6  3 O 2.77
Zn 0.0000 0.0000 0.4192 x6  3 O 1.89
Te 0.0000 0.0000 0.0000 x3  6 O 2.19
O 0.0238 0.5119 0.7512 x18  1 Zn 1.89